1.
This record from the Alexandria database describes CsCaPd3 after structural relaxation. The functional is PBE.

abc: 5.3335 5.3335 5.3335
angles: 90.00 90.00 90.00
Closest atoms and distances in Å follow each position.
Positions (direct):
Cs  0.0000  0.0000  0.0000  6 Pd 2.67
Ca  0.5000  0.5000  0.5000  12 Pd 3.77
Pd  0.0000  0.5000  0.0000  2 Cs 2.67
Pd  0.0000  0.0000  0.5000  2 Cs 2.67
Pd  0.5000  0.0000  0.0000  2 Cs 2.67

Values from the calculation:
The energy above the most stable polymorph in this dataset comes out at 0.526 eV per atom. The total magnetic moment is 0.0 μB per formula unit. Its formation energy is 4.4 eV per formula unit.

2.
This record from the Alexandria database describes ZrTlBr after structural relaxation. The functional is PBE.

abc: 7.5885 7.5885 7.5885
angles: 154.62 154.62 36.20
Closest atoms and distances in Å follow each position.
Positions (direct):
Tl  0.3031  0.3031  0.0000  4 Zr 3.17, 4 Tl 3.33
Br  0.0404  0.0404  0.0000  4 Zr 2.89
Zr  0.6566  0.6566  0.0000  4 Br 2.89, 4 Tl 3.17

Values from the calculation:
The energy above the most stable polymorph in this dataset comes out at 0.150 eV per atom. The total magnetic moment is 0.0 μB per formula unit.

3.
This record from the Alexandria database describes Pm12Tl3Sb after structural relaxation. The functional is PBE.

abc: 4.9530 4.9530 19.7179
angles: 90.00 90.00 90.00
Closest atoms and distances in Å follow each position.
Positions (direct):
Pm  0.5000  0.5000  0.0000  8 Pm 3.44, 4 Sb 3.50
Pm  0.5000  0.5000  0.2465  8 Pm 3.50-3.52, 4 Tl 3.50
Pm  0.5000  0.5000  0.5000  4 Tl 3.50, 8 Pm 3.52
Pm  0.5000  0.5000  0.7535  8 Pm 3.50-3.52, 4 Tl 3.50
Pm  0.5000  0.0000  0.1209  8 Pm 3.44-3.50, 2 Sb 3.44, 2 Tl 3.55
Pm  0.5000  0.0000  0.3732  4 Tl 3.47-3.52, 8 Pm 3.50-3.52
Pm  0.5000  0.0000  0.6268  4 Tl 3.47-3.52, 8 Pm 3.50-3.52
Pm  0.5000  0.0000  0.8791  2 Sb 3.44, 8 Pm 3.44-3.50, 2 Tl 3.55
Pm  0.0000  0.5000  0.1209  2 Sb 3.44, 8 Pm 3.44-3.50, 2 Tl 3.55
Pm  0.0000  0.5000  0.3732  4 Tl 3.47-3.52, 8 Pm 3.50-3.52
Pm  0.0000  0.5000  0.6268  4 Tl 3.47-3.52, 8 Pm 3.50-3.52
Pm  0.0000  0.5000  0.8791  2 Sb 3.44, 8 Pm 3.44-3.50, 2 Tl 3.55
Tl  0.0000  0.0000  0.2498  12 Pm 3.47-3.55
Tl  0.0000  0.0000  0.5000  12 Pm 3.50-3.52
Tl  0.0000  0.0000  0.7502  12 Pm 3.47-3.55
Sb  0.0000  0.0000  0.0000  12 Pm 3.44-3.50

Values from the calculation:
The total magnetic moment is 0.0 μB per formula unit. The total energy is -72.90 eV for the cell shown.

4.
This record from the Alexandria database describes Cr2Pb3 after structural relaxation. The functional is PBE.

abc: 9.2904 6.5085 7.7996
angles: 80.43 43.69 55.88
Closest atoms and distances in Å follow each position.
Positions (direct):
Cr  0.4456  0.5994  0.1438  6 Pb 2.96-3.17, 2 Cr 3.22
Cr  0.8112  0.1438  0.5994  6 Pb 2.96-3.17, 2 Cr 3.22
Cr  0.1062  0.4388  0.8044  6 Pb 2.96-3.17, 2 Cr 3.22
Cr  0.6506  0.8044  0.4388  6 Pb 2.96-3.17, 2 Cr 3.22
Pb  0.5933  0.0449  0.1166  4 Cr 2.96-3.09, 3 Pb 3.30-3.31
Pb  0.2452  0.1166  0.0449  4 Cr 2.96-3.09, 3 Pb 3.30-3.31
Pb  0.1334  0.0048  0.6567  4 Cr 2.96-3.09, 3 Pb 3.30-3.31
Pb  0.2051  0.6567  0.0048  4 Cr 2.96-3.09, 3 Pb 3.30-3.31
Pb  0.9048  0.5952  0.5952  4 Cr 2.99-3.17, 2 Pb 3.30
Pb  0.6548  0.3452  0.3452  4 Cr 2.99-3.17, 2 Pb 3.30

Values from the calculation:
The energy above the most stable polymorph in this dataset comes out at 0.000 eV per atom. The total magnetic moment is 7.8 μB per formula unit. Its formation energy is 2.9 eV per formula unit.